RbBeB2 | meta-GGA SCAN | single point on PBEsol structure

```
RbBeB2
1.0
-1.019 3.098 3.550
-4.052 -2.430 0.958
5.385 -3.630 1.441
Be B Rb
2 4 2
Cartesian
-2.535 0.334 2.254
0.915 -0.098 3.622
1.882 -1.697 3.658
2.392 -3.246 1.883
-2.836 -1.097 3.417
-0.810 0.118 2.938
0.000 0.000 0.000
-0.601 -2.863 2.326
```

- ΔH_f (0 K): 1.155 eV per atom
- Crystal system: tetragonal
- Space group: I4_1/amd, No. 141
- N(E_F): 2.61 states/eV per cell
- M_tot: 0.0 μB per formula unit